1.
Density functional theory data (PBE-GGA) for a relaxed La2HoErTm crystal.

Properties
E_form: 0.43 eV/atom

Structure (CIF):
```
data_La2HoErTm
_space_group_name_H-M_alt 'C m c m'
_space_group_IT_number 63
_space_group_name_Hall '-C 2c 2'
_cell_length_a 8.4365
_cell_length_b 11.5385
_cell_length_c 7.3563
_cell_angle_alpha 90.00
_cell_angle_beta 90.00
_cell_angle_gamma 90.00
loop_
_atom_site_label
_atom_site_type_symbol
_atom_site_fract_x
_atom_site_fract_y
_atom_site_fract_z
_atom_site_occupancy
La1 La 0.1954 0.0000 0.0000 1
Ho1 Ho 0.0000 0.2218 0.2500 1
Er1 Er 0.0000 0.4867 0.2500 1
Tm1 Tm 0.0000 0.2388 0.7500 1
```



2.
Density functional theory data (PBE-GGA) for a relaxed SbMoPt2 crystal.

Properties
Raw formation energy: 0.091 eV/atom

Structure (CIF):
```
data_SbMoPt2
_space_group_name_H-M_alt 'R -3 m'
_space_group_IT_number 166
_space_group_name_Hall '-R 3 2"'
_cell_length_a 2.9493
_cell_length_b 2.9493
_cell_length_c 27.9313
_cell_angle_alpha 90.00
_cell_angle_beta 90.00
_cell_angle_gamma 120.00
loop_
_atom_site_label
_atom_site_type_symbol
_atom_site_fract_x
_atom_site_fract_y
_atom_site_fract_z
_atom_site_occupancy
Sb1 Sb 0.0000 0.0000 0.0000 1
Mo1 Mo 0.0000 0.0000 0.5000 1
Pt1 Pt 0.0000 0.0000 0.2453 1
```



3.
Density functional theory data (PBE-GGA) for a relaxed NaCd2Pd2 crystal.

Properties
E_form: -0.32 eV/atom
Energy above the lowest structure with this stoichiometry: 22 meV per atom

Structure (CIF):
```
data_NaCd2Pd2
_space_group_name_H-M_alt 'P 4/m b m'
_space_group_IT_number 127
_space_group_name_Hall '-P 4 2ab'
_cell_length_a 8.1019
_cell_length_b 8.1019
_cell_length_c 3.0026
_cell_angle_alpha 90.00
_cell_angle_beta 90.00
_cell_angle_gamma 90.00
loop_
_atom_site_label
_atom_site_type_symbol
_atom_site_fract_x
_atom_site_fract_y
_atom_site_fract_z
_atom_site_occupancy
Na1 Na 0.0000 0.0000 0.0000 1
Cd1 Cd 0.1412 0.3588 0.0000 1
Pd1 Pd 0.1548 0.6548 0.5000 1
```



4.
Density functional theory data (PBE-GGA) for a relaxed Zn8GeAu6 crystal.

Properties
E_form: -0.15 eV/atom

Structure (CIF):
```
data_Zn8GeAu6
_space_group_name_H-M_alt 'R -3'
_space_group_IT_number 148
_space_group_name_Hall '-R 3'
_cell_length_a 7.5553
_cell_length_b 7.5553
_cell_length_c 16.4553
_cell_angle_alpha 90.00
_cell_angle_beta 90.00
_cell_angle_gamma 120.00
loop_
_atom_site_label
_atom_site_type_symbol
_atom_site_fract_x
_atom_site_fract_y
_atom_site_fract_z
_atom_site_occupancy
Zn1 Zn 0.0000 0.0000 0.1669 1
Zn2 Zn 0.0013 0.6629 0.3805 1
Ge1 Ge 0.0000 0.0000 0.5000 1
Au1 Au 0.9997 0.3358 0.4436 1
```



5.
Density functional theory data (PBE-GGA) for a relaxed YNb2Cl crystal.

Properties
Energy above the lowest structure with this stoichiometry: 816 meV per atom
Raw formation energy: 0.951 eV/atom

Structure (CIF):
```
data_YNb2Cl
_space_group_name_H-M_alt 'F m -3 m'
_space_group_IT_number 225
_space_group_name_Hall '-F 4 2 3'
_cell_length_a 6.8556
_cell_length_b 6.8556
_cell_length_c 6.8556
_cell_angle_alpha 90.00
_cell_angle_beta 90.00
_cell_angle_gamma 90.00
loop_
_atom_site_label
_atom_site_type_symbol
_atom_site_fract_x
_atom_site_fract_y
_atom_site_fract_z
_atom_site_occupancy
Y1 Y 0.0000 0.0000 0.0000 1
Nb1 Nb 0.2500 0.2500 0.2500 1
Cl1 Cl 0.0000 0.0000 0.5000 1
```



6.
Density functional theory data (PBE-GGA) for a relaxed Pt2RhI crystal.

Properties
Energy above the lowest structure with this stoichiometry: 120 meV per atom
Raw formation energy: 0.584 eV/atom

Structure (CIF):
```
data_Pt2RhI
_space_group_name_H-M_alt 'F m -3 m'
_space_group_IT_number 225
_space_group_name_Hall '-F 4 2 3'
_cell_length_a 6.5547
_cell_length_b 6.5547
_cell_length_c 6.5547
_cell_angle_alpha 90.00
_cell_angle_beta 90.00
_cell_angle_gamma 90.00
loop_
_atom_site_label
_atom_site_type_symbol
_atom_site_fract_x
_atom_site_fract_y
_atom_site_fract_z
_atom_site_occupancy
Pt1 Pt 0.2500 0.2500 0.2500 1
Rh1 Rh 0.0000 0.0000 0.0000 1
I1 I 0.0000 0.0000 0.5000 1
```



| no. | total magnetization (μB per formula unit) |
| --- | --- |
| 1 | 0.00 |
| 2 | 0.00 |
| 3 | 0.00 |
| 4 | 0.00 |
| 5 | 0.00 |
| 6 | 0.00 |